Entry 1:
{"formula": "Tb6Mg2HN", "functional": "GGA-PBE", "state": "optimized geometry", "cell": [[-3.478, 3.478, 4.907], [3.478, -3.478, 4.907], [3.478, 3.478, -4.907]], "species": ["Tb", "Tb", "Tb", "Tb", "Tb", "Tb", "Mg", "Mg", "H", "N"], "fractional_positions": [[0.242, 0.242, 0.484], [0.242, 0.758, 0.000], [0.243, 0.243, 0.000], [0.757, 0.757, 0.000], [0.758, 0.242, 0.000], [0.758, 0.758, 0.516], [0.250, 0.750, 0.500], [0.750, 0.250, 0.500], [0.500, 0.500, 0.000], [0.000, 0.000, 0.000]], "crystal_system": "tetragonal", "spacegroup": "I4/mmm", "e_tot_ev_per_cell": -46.885}



Entry 2:
{"formula": "CuH2RuS", "functional": "GGA-PBE", "state": "optimized geometry", "cell": [[3.353, 0.000, 0.000], [0.000, 3.353, 0.000], [0.000, 0.000, 5.249]], "species": ["Cu", "H", "H", "Ru", "S"], "fractional_positions": [[0.000, 0.000, 0.000], [0.000, 0.500, 0.500], [0.500, 0.000, 0.500], [0.000, 0.000, 0.500], [0.500, 0.500, 0.000]], "crystal_system": "tetragonal", "spacegroup": "P4/mmm", "e_tot_ev_per_cell": -21.254}